Material: K2TlTc
Method: DFT, PBE
State: optimized geometry

Properties
- Energy above the lowest structure with this stoichiometry: 7.83 kcal/mol of atoms
- Raw total energy: -2.721 eV per atom
- Energy relative to the elements: 4.04 eV per formula unit

Cell lengths 5.972, 11.739, 3.058 Å; angles 90.00, 101.20, 90.00 degrees
Positions (direct):
1 K 0.250 0.250 0.000
2 K 0.250 0.750 0.000
3 K 0.750 0.250 0.000
4 K 0.750 0.750 0.000
5 Tl 0.000 0.000 0.500
6 Tl 0.500 0.500 0.500
7 Tc 0.000 0.500 0.500
8 Tc 0.500 0.000 0.500